(1)
A plane-wave DFT calculation with PBE was carried out for MgCd2GaAu6 after structural relaxation.

Lattice parameters (Å, degrees): 5.271 5.664 7.642 75.07 73.81 72.59
Space group P-1 (No. 2)
Asymmetric unit:
Mg  0.000  0.000  0.000 x1
Cd  0.419  0.320  0.189 x2
Ga  0.500  0.500  0.500 x1
Au  0.077  0.318  0.661 x2
Au  0.088  0.825  0.664 x2
Au  0.448  0.822  0.174 x2

Results
total moment = 0.00 μB per formula unit
energy of formation = -0.1943 eV per atom

(2)
A plane-wave DFT calculation with PBE was carried out for MnReTc2 after structural relaxation.

Lattice parameters (Å, degrees): 2.662 4.297 5.091 90.00 101.04 90.00
Space group P2/m (No. 10)
Asymmetric unit:
Mn  0.000  0.000  0.000 x1
Re  0.500  0.000  0.500 x1
Tc  0.225  0.500  0.758 x2

Results
total moment = 2.58 μB per formula unit
energy of formation = 0.1578 eV per atom

(3)
A plane-wave DFT calculation with PBE was carried out for La5HN4 after structural relaxation.

Lattice parameters (Å, degrees): 3.772 3.772 26.000 90.00 90.00 90.00
Space group I4/mmm (No. 139)
Asymmetric unit:
La  0.000  0.000  0.000 x2
La  0.000  0.000  0.201 x4
La  0.000  0.000  0.397 x4
H  0.000  0.000  0.500 x2
N  0.000  0.000  0.096 x4
N  0.000  0.000  0.303 x4

Results
total moment = 0.00 μB per formula unit
electronic total energy = -72.85 eV per formula unit

(4)
A plane-wave DFT calculation with PBE was carried out for Ba2YSi after structural relaxation.

Lattice parameters (Å, degrees): 3.910 3.910 10.205 90.00 90.00 90.00
Space group P4/mmm (No. 123)
Asymmetric unit:
Ba  0.000  0.000  0.192 x2
Y  0.500  0.500  0.500 x1
Si  0.500  0.500  0.000 x1

Results
total moment = 1.84 μB per formula unit
formation energy (no corrections) = 12 kJ/mol of atoms

(5)
A plane-wave DFT calculation with PBE was carried out for Tm3Zn2Ir after structural relaxation.

Lattice parameters (Å, degrees): 4.8793 4.8793 6.0313 90.00 90.00 120.00
Space group P-3m1 (No. 164)
Asymmetric unit:
Tm  0.0000  0.0000  0.0000 x1
Tm  0.3333  0.6667  0.6542 x2
Zn  0.3333  0.6667  0.1491 x2
Ir  0.0000  0.0000  0.5000 x1

Results
total moment = 0.00 μB per formula unit
energy of formation = -0.5974 eV per atom

(6)
A plane-wave DFT calculation with PBE was carried out for AcY8 after structural relaxation.

Lattice parameters (Å, degrees): 10.863 10.863 5.109 90.00 90.00 90.00
Space group I4/mmm (No. 139)
Asymmetric unit:
Ac  0.000  0.000  0.000 x2
Y  0.000  0.336  0.000 x8
Y  0.170  0.170  0.500 x8

Results
total moment = 0.00 μB per formula unit
energy of formation = 0.0369 eV per atom

(7)
A plane-wave DFT calculation with PBE was carried out for HoTh2Au after structural relaxation.

Lattice parameters (Å, degrees): 3.623 3.623 8.910 90.00 90.00 90.00
Space group P4/mmm (No. 123)
Asymmetric unit:
Ho  0.000  0.000  0.000 x1
Th  0.500  0.500  0.282 x2
Au  0.000  0.000  0.500 x1

Results
total moment = 0.00 μB per formula unit
energy of formation = -0.2281 eV per atom

(8)
A plane-wave DFT calculation with PBE was carried out for Cs2AuI6Br after structural relaxation.

Lattice parameters (Å, degrees): 8.701 8.701 12.546 90.00 90.00 90.00
Space group I4/mmm (No. 139)
Asymmetric unit:
Cs  0.000  0.500  0.250 x4
Au  0.000  0.000  0.000 x2
I  0.000  0.000  0.277 x4
I  0.218  0.218  0.000 x8
Br  0.000  0.000  0.500 x2

Results
total moment = 0.00 μB per formula unit
formation energy (no corrections) = -65 kJ/mol of atoms

total moment of number 5 (Tm3Zn2Ir)?
0.00 μB per formula unit

Which formula does entry 1 have?
MgCd2GaAu6